# NaTbMgAu | Alexandria via LeMat-Bulk | PBE | relaxed
# - Energy: -2.986 eV per atom
# - Magnetization: 0.7 μB/f.u.
# - E_form: -0.281 eV per atom
data_NaTbMgAu
_chemical_formula_sum 'Na1 Tb1 Mg1 Au1'
_symmetry_space_group_name_H-M 'P 1'
_symmetry_Int_Tables_number 1
_symmetry_space_group_name_Hall 'P 1'
_cell_length_a 5.0319
_cell_length_b 5.0319
_cell_length_c 5.0319
_cell_angle_alpha 60.00
_cell_angle_beta 60.00
_cell_angle_gamma 60.00
loop_
_atom_site_label
_atom_site_type_symbol
_atom_site_fract_x
_atom_site_fract_y
_atom_site_fract_z
Tb1 Tb 0.5000 0.5000 0.5000
Mg1 Mg 0.0000 0.0000 0.0000
Au1 Au 0.2500 0.2500 0.2500
Na1 Na 0.7500 0.7500 0.7500